This record from Alexandria via LeMat-Bulk describes a relaxed CaLu2Be crystal. The functional is PBE.

```
data_CaLu2Be
_chemical_formula_sum 'Ca1 Lu2 Be1'
_symmetry_space_group_name_H-M 'P 1'
_symmetry_Int_Tables_number 1
_cell_length_a 3.4283
_cell_length_b 3.4283
_cell_length_c 8.9585
_cell_angle_alpha 90.00
_cell_angle_beta 90.00
_cell_angle_gamma 90.00
loop_
_symmetry_equiv_pos_as_xyz
'x,y,z'
loop_
_atom_site_label
_atom_site_type_symbol
_atom_site_fract_x
_atom_site_fract_y
_atom_site_fract_z
_atom_site_occupancy
Ca1 Ca 0.0000 0.0000 0.0000 1
Lu1 Lu 0.5000 0.5000 0.3239 1
Lu2 Lu 0.5000 0.5000 0.6761 1
Be1 Be 0.0000 0.0000 0.5000 1
```

Output
The raw total energy is -14.3 eV/cell. As for the crystal system: tetragonal.

---

This record from Alexandria via LeMat-Bulk describes a relaxed CaMg2Be crystal. The functional is PBE.

```
data_CaMg2Be
_chemical_formula_sum 'Ca1 Mg2 Be1'
_symmetry_space_group_name_H-M 'P 1'
_symmetry_Int_Tables_number 1
_cell_length_a 6.1640
_cell_length_b 6.1640
_cell_length_c 5.2266
_cell_angle_alpha 114.71
_cell_angle_beta 114.71
_cell_angle_gamma 29.54
loop_
_symmetry_equiv_pos_as_xyz
'x,y,z'
loop_
_atom_site_label
_atom_site_type_symbol
_atom_site_fract_x
_atom_site_fract_y
_atom_site_fract_z
_atom_site_occupancy
Ca1 Ca 0.0000 0.0000 0.0000 1
Mg1 Mg 0.2021 0.2021 0.7025 1
Mg2 Mg 0.7979 0.7979 0.2975 1
Be1 Be 0.5000 0.5000 0.5000 1
```

Output
The raw total energy is -8.1 eV/cell. As for the crystal system: monoclinic.

---

This record from Alexandria via LeMat-Bulk describes a relaxed CaMgBe2 crystal. The functional is PBE.

```
data_CaMgBe2
_chemical_formula_sum 'Ca1 Mg1 Be2'
_symmetry_space_group_name_H-M 'P 1'
_symmetry_Int_Tables_number 1
_cell_length_a 3.9755
_cell_length_b 3.9755
_cell_length_c 6.2777
_cell_angle_alpha 108.65
_cell_angle_beta 108.65
_cell_angle_gamma 60.08
loop_
_symmetry_equiv_pos_as_xyz
'x,y,z'
loop_
_atom_site_label
_atom_site_type_symbol
_atom_site_fract_x
_atom_site_fract_y
_atom_site_fract_z
_atom_site_occupancy
Ca1 Ca 0.0000 0.0000 0.0000 1
Mg1 Mg 0.1845 0.1845 0.5497 1
Be1 Be 0.4462 0.4462 0.3370 1
Be2 Be 0.7808 0.7808 0.3407 1
```

Output
The raw total energy is -10.2 eV/cell. As for the crystal system: monoclinic.

---

This record from Alexandria via LeMat-Bulk describes a relaxed CaMg2Be2 crystal. The functional is PBE.

```
data_CaMg2Be2
_chemical_formula_sum 'Ca2 Mg4 Be4'
_symmetry_space_group_name_H-M 'P 1'
_symmetry_Int_Tables_number 1
_cell_length_a 7.6832
_cell_length_b 7.6832
_cell_length_c 3.2534
_cell_angle_alpha 90.00
_cell_angle_beta 90.00
_cell_angle_gamma 90.00
loop_
_symmetry_equiv_pos_as_xyz
'x,y,z'
loop_
_atom_site_label
_atom_site_type_symbol
_atom_site_fract_x
_atom_site_fract_y
_atom_site_fract_z
_atom_site_occupancy
Ca1 Ca 0.0000 0.0000 0.0000 1
Ca2 Ca 0.5000 0.5000 0.0000 1
Mg1 Mg 0.1743 0.3257 0.5000 1
Mg2 Mg 0.3257 0.8257 0.5000 1
Mg3 Mg 0.6743 0.1743 0.5000 1
Mg4 Mg 0.8257 0.6743 0.5000 1
Be1 Be 0.1062 0.6062 0.0000 1
Be2 Be 0.3938 0.1062 0.0000 1
Be3 Be 0.6062 0.8938 0.0000 1
Be4 Be 0.8938 0.3938 0.0000 1
```

Output
The value obtained for the offset from the most stable computed form is 111 meV/atom. As for the crystal system: tetragonal.